[1]
{
  "formula": "Al2Zn2S5",
  "functional": "PBE-GGA",
  "state": "relaxed",
  "formation_energy_uncorrected_mev_per_atom": -858,
  "crystal_system": "hexagonal",
  "cell": [[3.7262, 0.0000, 0.0000], [-1.8631, 3.2270, 0.0000], [0.0000, 0.0000, 29.5799]],
  "species": ["Al", "Al", "Al", "Al", "Zn", "Zn", "Zn", "Zn", "S", "S", "S", "S", "S", "S", "S", "S", "S", "S"],
  "fractional_positions": [[0.0000, 0.0000, 0.0000], [0.0000, 0.0000, 0.5000], [0.3333, 0.6667, 0.2682], [0.6667, 0.3333, 0.7682], [0.3333, 0.6667, 0.6235], [0.3333, 0.6667, 0.8787], [0.6667, 0.3333, 0.1235], [0.6667, 0.3333, 0.3787], [0.3333, 0.6667, 0.1496], [0.3333, 0.6667, 0.3456], [0.3333, 0.6667, 0.5393], [0.3333, 0.6667, 0.7417], [0.3333, 0.6667, 0.9550], [0.6667, 0.3333, 0.0393], [0.6667, 0.3333, 0.2417], [0.6667, 0.3333, 0.4550], [0.6667, 0.3333, 0.6496], [0.6667, 0.3333, 0.8456]]
}

***

[2]
{
  "formula": "Al2ZnS4",
  "functional": "PBE-GGA",
  "state": "relaxed",
  "formation_energy_uncorrected_mev_per_atom": -1012,
  "crystal_system": "tetragonal",
  "cell": [[-2.6759, 2.6759, 5.2118], [2.6759, -2.6759, 5.2118], [2.6759, 2.6759, -5.2118]],
  "species": ["Al", "Al", "Zn", "S", "S", "S", "S"],
  "fractional_positions": [[0.0000, 0.0000, 0.0000], [0.7500, 0.2500, 0.5000], [0.5000, 0.5000, 0.0000], [0.1135, 0.1130, 0.4853], [0.3719, 0.8865, 0.9995], [0.6276, 0.6281, 0.5147], [0.8870, 0.3724, 0.0005]]
}

***

[3]
{
  "formula": "Al2ZnS4",
  "functional": "PBE-GGA",
  "state": "relaxed",
  "formation_energy_uncorrected_mev_per_atom": -956,
  "crystal_system": "monoclinic",
  "cell": [[6.1569, 0.0000, 0.0000], [0.0000, 3.6788, 0.0000], [-0.0286, 0.0000, 6.6140]],
  "species": ["Al", "Al", "Zn", "S", "S", "S", "S"],
  "fractional_positions": [[0.0000, 0.0000, 0.0000], [0.4532, 0.0000, 0.3192], [0.9885, 0.5000, 0.5156], [0.3557, 0.0000, 0.0027], [0.3687, 0.5000, 0.5116], [0.8418, 0.0000, 0.3258], [0.8482, 0.5000, 0.8441]]
}

***

[4]
{
  "formula": "Al2ZnS4",
  "functional": "PBE-GGA",
  "state": "relaxed",
  "formation_energy_uncorrected_mev_per_atom": -904,
  "crystal_system": "trigonal",
  "cell": [[1.8411, 1.0630, 12.0873], [-1.8411, 1.0630, 12.0873], [0.0000, -2.1259, 12.0873]],
  "species": ["Al", "Al", "Zn", "S", "S", "S", "S"],
  "fractional_positions": [[0.0000, 0.0000, 0.0000], [0.2326, 0.2326, 0.2326], [0.7704, 0.7704, 0.7704], [0.1236, 0.1236, 0.1236], [0.2945, 0.2945, 0.2945], [0.6979, 0.6979, 0.6979], [0.8745, 0.8745, 0.8745]]
}

***

[5]
{
  "formula": "Al2Zn2S5",
  "functional": "PBE-GGA",
  "state": "relaxed",
  "formation_energy_uncorrected_mev_per_atom": -801,
  "crystal_system": "triclinic",
  "cell": [[3.7557, 0.0000, 0.0000], [-0.0101, 6.2944, 0.0000], [-1.8724, -1.8215, 9.8641]],
  "species": ["Al", "Al", "Zn", "Zn", "S", "S", "S", "S", "S"],
  "fractional_positions": [[0.0973, 0.4147, 0.2034], [0.9027, 0.5853, 0.7966], [0.3973, 0.1323, 0.7787], [0.6027, 0.8677, 0.2213], [0.0000, 0.5000, 0.0000], [0.0996, 0.0617, 0.2137], [0.3447, 0.4347, 0.6808], [0.6553, 0.5653, 0.3192], [0.9004, 0.9383, 0.7863]]
}

***

[6]
{
  "formula": "Al2ZnS4",
  "functional": "PBE-GGA",
  "state": "relaxed",
  "formation_energy_uncorrected_mev_per_atom": -872,
  "crystal_system": "monoclinic",
  "cell": [[7.0725, -1.8554, 0.0000], [7.0725, 1.8554, 0.0000], [-2.9144, 0.0000, 5.7572]],
  "species": ["Al", "Al", "Zn", "S", "S", "S", "S"],
  "fractional_positions": [[0.0000, 0.0000, 0.0000], [0.5032, 0.5032, 0.5004], [0.7046, 0.7046, 0.3885], [0.1743, 0.1743, 0.1486], [0.4255, 0.4255, 0.0914], [0.6717, 0.6717, 0.6954], [0.9202, 0.9202, 0.5887]]
}

***

In Mg/m³, the ρ values for the records above are, in order, 3.22 2.75 2.74 2.90 2.46 2.72.